[1]
LaReP2Cl PBE relaxed; SG = P4/mmm, No. 123; total energy = -6.409 eV per atom; density of states at the Fermi level = 3.98 states/eV/f.u.; energy relative to the elements, uncorrected = -0.400 eV per atom
1.0
4.627 0.000 0.000
0.000 4.627 0.000
0.000 0.000 4.995
Re Cl P La
1 1 2 1
Direct
0.000 0.000 0.000
0.000 0.000 0.500
0.000 0.500 0.000
0.500 0.000 0.000
0.500 0.500 0.500

***

[2]
LaReP2Cl PBE relaxed; SG = P4/mmm, No. 123; total energy = -4.833 eV per atom; density of states at the Fermi level = 4.55 states/eV/f.u.; energy relative to the elements, uncorrected = 1.176 eV per atom
1.0
5.593 0.000 0.000
0.000 5.593 0.000
0.000 0.000 5.315
Re Cl P La
1 1 2 1
Direct
0.500 0.500 0.500
0.000 0.000 0.500
0.000 0.500 0.000
0.500 0.000 0.000
0.000 0.000 0.000

***

[3]
LaRePCl2 PBE relaxed; SG = P4/mmm, No. 123; total energy = -5.651 eV per atom; density of states at the Fermi level = 3.39 states/eV/f.u.; energy relative to the elements, uncorrected = -0.355 eV per atom
1.0
4.865 0.000 0.000
0.000 4.865 0.000
0.000 0.000 4.624
Re Cl P La
1 2 1 1
Direct
0.000 0.000 0.000
0.000 0.500 0.000
0.500 0.000 0.000
0.000 0.000 0.500
0.500 0.500 0.500

***

[4]
La6P2RhCl3 PBE relaxed; SG = C2/m, No. 12; total energy = -5.972 eV per atom; density of states at the Fermi level = 8.34 states/eV/f.u.; energy relative to the elements, uncorrected = -1.533 eV per atom
1.0
4.142 0.000 0.000
0.000 8.680 0.345
-2.071 -2.465 8.999
La P Rh Cl
6 2 1 3
Direct
0.336 0.901 0.671
0.673 0.569 0.345
0.664 0.099 0.329
0.006 0.227 0.012
0.994 0.773 0.988
0.327 0.431 0.655
0.833 0.665 0.665
0.167 0.335 0.335
0.500 0.000 0.000
0.500 0.500 0.000
0.834 0.171 0.668
0.166 0.829 0.332

***

[5]
LaPRhCl2 PBE relaxed; SG = P4/mmm, No. 123; total energy = -5.065 eV per atom; density of states at the Fermi level = 2.78 states/eV/f.u.; energy relative to the elements, uncorrected = -0.789 eV per atom
1.0
-3.614 1.312 2.716
-2.110 -4.128 -0.813
2.242 -1.916 3.909
P Cl Rh La
1 2 1 1
Direct
0.000 0.000 0.500
0.000 0.500 0.000
0.500 0.000 0.000
0.000 0.000 0.000
0.500 0.500 0.500

***

[6]
La8P3RhCl4 PBE relaxed; SG = R-3m, No. 166; total energy = -5.973 eV per atom; density of states at the Fermi level = 9.45 states/eV/f.u.; energy relative to the elements, uncorrected = -1.574 eV per atom
1.0
-6.909 -4.341 -2.322
3.450 -1.409 -7.632
4.221 -2.187 7.027
La P Rh Cl
8 3 1 4
Direct
0.241 0.726 0.984
0.241 0.726 0.482
0.258 0.273 0.516
0.743 0.726 0.984
0.257 0.274 0.016
0.742 0.727 0.484
0.759 0.274 0.518
0.759 0.274 0.016
0.500 0.500 0.000
0.500 0.500 0.500
0.000 0.500 0.500
0.000 0.500 0.000
0.500 0.000 0.000
0.500 0.000 0.500
0.000 0.000 0.000
0.000 0.000 0.500

***

[7]
LaPRhCl2 PBE relaxed; SG = P4/mmm, No. 123; total energy = -4.346 eV per atom; density of states at the Fermi level = 7.55 states/eV/f.u.; energy relative to the elements, uncorrected = -0.070 eV per atom
1.0
-0.966 2.740 4.548
-4.546 -2.814 0.730
2.963 -3.999 3.039
P Cl Rh La
1 2 1 1
Direct
0.000 0.000 0.500
0.000 0.500 0.000
0.500 0.000 0.000
0.500 0.500 0.500
0.000 0.000 0.000

***

[8]
La8PRh3Cl4 PBE relaxed; SG = R-3m, No. 166; total energy = -5.970 eV per atom; density of states at the Fermi level = 13.61 states/eV/f.u.; energy relative to the elements, uncorrected = -1.328 eV per atom
1.0
8.402 0.000 0.000
0.000 8.882 0.329
-4.201 -4.197 5.947
La P Rh Cl
8 1 3 4
Direct
0.240 0.712 0.972
0.240 0.712 0.480
0.263 0.290 0.526
0.731 0.712 0.972
0.269 0.288 0.028
0.737 0.710 0.474
0.760 0.288 0.520
0.760 0.288 0.028
0.000 0.500 0.000
0.500 0.500 0.000
0.500 0.500 0.500
0.000 0.500 0.500
0.500 0.000 0.000
0.500 0.000 0.500
0.000 0.000 0.000
0.000 0.000 0.500

***

[9]
La6PRh2Cl3 PBE relaxed; SG = C2/m, No. 12; total energy = -5.962 eV per atom; density of states at the Fermi level = 10.10 states/eV/f.u.; energy relative to the elements, uncorrected = -1.361 eV per atom
1.0
-4.420 -0.909 -5.743
2.488 -5.811 3.660
-5.209 2.524 5.143
La P Rh Cl
6 1 2 3
Direct
0.928 0.587 0.786
0.730 0.730 0.214
0.072 0.413 0.214
0.587 0.928 0.786
0.270 0.270 0.786
0.413 0.072 0.214
0.000 0.000 0.000
0.333 0.667 0.000
0.667 0.333 0.000
0.161 0.839 0.500
0.839 0.161 0.500
0.500 0.500 0.500

***

[10]
La6PRu2Cl3 PBE relaxed; SG = C2/m, No. 12; total energy = -6.150 eV per atom; density of states at the Fermi level = 10.91 states/eV/f.u.; energy relative to the elements, uncorrected = -1.227 eV per atom
1.0
7.273 0.009 -0.012
-3.627 6.305 -0.012
-1.229 -2.128 7.460
La P Ru Cl
6 1 2 3
Direct
0.934 0.587 0.791
0.722 0.722 0.208
0.066 0.413 0.209
0.587 0.934 0.791
0.278 0.278 0.792
0.413 0.066 0.209
0.000 0.000 0.000
0.332 0.668 0.000
0.668 0.332 0.000
0.163 0.837 0.500
0.837 0.163 0.500
0.500 0.500 0.500

***

[11]
LaP2RuCl PBE relaxed; SG = P4/mmm, No. 123; total energy = -4.423 eV per atom; density of states at the Fermi level = 10.66 states/eV/f.u.; energy relative to the elements, uncorrected = 0.951 eV per atom
1.0
5.518 0.000 0.000
0.000 5.518 0.000
0.000 0.000 5.334
Ru Cl P La
1 1 2 1
Direct
0.500 0.500 0.500
0.000 0.000 0.500
0.000 0.500 0.000
0.500 0.000 0.000
0.000 0.000 0.000

***

[12]
La6P2RuCl3 PBE relaxed; SG = C2/m, No. 12; total energy = -6.065 eV per atom; density of states at the Fermi level = 6.39 states/eV/f.u.; energy relative to the elements, uncorrected = -1.465 eV per atom
1.0
4.158 0.000 0.000
0.000 8.824 0.289
-2.079 -2.559 8.926
La P Ru Cl
6 2 1 3
Direct
0.347 0.901 0.693
0.674 0.568 0.347
0.653 0.099 0.307
0.004 0.229 0.008
0.996 0.771 0.992
0.326 0.432 0.653
0.835 0.663 0.670
0.165 0.337 0.330
0.500 0.000 0.000
0.500 0.500 0.000
0.829 0.166 0.658
0.171 0.834 0.342

***

[13]
La8P3RuCl4 PBE relaxed; SG = R-3m, No. 166; total energy = -6.044 eV per atom; density of states at the Fermi level = 9.10 states/eV/f.u.; energy relative to the elements, uncorrected = -1.525 eV per atom
1.0
-6.178 -0.966 -5.726
-4.425 -4.731 5.572
2.570 7.777 2.193
La P Ru Cl
8 3 1 4
Direct
0.237 0.720 0.984
0.237 0.720 0.473
0.258 0.275 0.517
0.747 0.720 0.984
0.253 0.280 0.016
0.742 0.725 0.483
0.763 0.280 0.527
0.763 0.280 0.016
0.500 0.500 0.000
0.500 0.500 0.500
0.000 0.500 0.500
0.000 0.500 0.000
0.500 0.000 0.000
0.500 0.000 0.500
0.000 0.000 0.000
0.000 0.000 0.500

***

[14]
La8PRu3Cl3 PBE relaxed; SG = R-3m, No. 166; total energy = -6.203 eV per atom; density of states at the Fermi level = 13.11 states/eV/f.u.; energy relative to the elements, uncorrected = -0.990 eV per atom
1.0
-2.300 -4.823 6.536
-3.166 -1.509 -7.679
8.383 -1.888 1.556
La P Ru Cl
8 1 3 3
Direct
0.260 0.519 0.279
0.740 0.481 0.721
0.758 0.516 0.291
0.242 0.484 0.709
0.758 0.033 0.291
0.242 0.967 0.709
0.275 0.033 0.291
0.725 0.967 0.709
0.000 0.000 0.500
0.500 0.000 0.500
0.500 0.500 0.500
0.000 0.500 0.500
0.000 0.000 0.000
0.000 0.500 0.000
0.500 0.500 0.000

***

[15]
LaP2RuCl PBE relaxed; SG = P4/mmm, No. 123; total energy = -5.899 eV per atom; density of states at the Fermi level = 4.01 states/eV/f.u.; energy relative to the elements, uncorrected = -0.525 eV per atom
1.0
4.583 0.000 0.000
0.000 4.583 0.000
0.000 0.000 4.991
Ru Cl P La
1 1 2 1
Direct
0.000 0.000 0.000
0.000 0.000 0.500
0.000 0.500 0.000
0.500 0.000 0.000
0.500 0.500 0.500

***

[16]
La6PS3Cl2 PBE relaxed; SG = C2/m, No. 12; total energy = -6.177 eV per atom; density of states at the Fermi level = 5.87 states/eV/f.u.; energy relative to the elements, uncorrected = -1.923 eV per atom
1.0
7.225 0.003 0.000
-3.608 6.260 0.000
-1.206 -2.088 6.845
La P S Cl
6 1 3 2
Direct
0.913 0.591 0.738
0.767 0.767 0.264
0.087 0.409 0.262
0.591 0.913 0.738
0.233 0.233 0.736
0.409 0.087 0.262
0.000 0.000 0.000
0.169 0.831 0.500
0.831 0.169 0.500
0.500 0.500 0.500
0.334 0.666 0.000
0.666 0.334 0.000

***

[17]
LaPSCl2 PBE relaxed; SG = P4/mmm, No. 123; total energy = -4.252 eV per atom; density of states at the Fermi level = 5.34 states/eV/f.u.; energy relative to the elements, uncorrected = -0.621 eV per atom
1.0
4.821 0.000 0.000
0.000 4.821 0.000
0.000 0.000 4.903
P S Cl La
1 1 2 1
Direct
0.000 0.000 0.000
0.000 0.000 0.500
0.000 0.500 0.000
0.500 0.000 0.000
0.500 0.500 0.500

***

[18]
LaPSCl2 PBE relaxed; SG = P4/mmm, No. 123; total energy = -4.088 eV per atom; density of states at the Fermi level = 4.05 states/eV/f.u.; energy relative to the elements, uncorrected = -0.456 eV per atom
1.0
-2.149 -0.410 4.335
1.330 -4.665 0.218
4.127 1.277 2.167
P S Cl La
1 1 2 1
Direct
0.000 0.000 0.500
0.000 0.000 0.000
0.000 0.500 0.000
0.500 0.000 0.000
0.500 0.500 0.500

***

[19]
La6P2SCl3 PBE relaxed; SG = C2/m, No. 12; total energy = -5.951 eV per atom; density of states at the Fermi level = 5.47 states/eV/f.u.; energy relative to the elements, uncorrected = -1.780 eV per atom
1.0
7.281 -0.004 -0.001
-3.642 6.305 -0.001
-1.215 -2.104 6.931
La P S Cl
6 2 1 3
Direct
0.926 0.592 0.776
0.742 0.742 0.225
0.074 0.408 0.224
0.592 0.926 0.776
0.258 0.258 0.775
0.408 0.074 0.224
0.334 0.666 0.000
0.666 0.334 0.000
0.000 0.000 0.000
0.170 0.830 0.500
0.830 0.170 0.500
0.500 0.500 0.500

***

[20]
La6PS2Cl3 PBE relaxed; SG = C2/m, No. 12; total energy = -5.895 eV per atom; density of states at the Fermi level = 7.95 states/eV/f.u.; energy relative to the elements, uncorrected = -1.831 eV per atom
1.0
-4.142 -1.276 -5.790
6.676 -2.761 0.342
-3.328 -4.296 4.830
La P S Cl
6 1 2 3
Direct
0.924 0.590 0.771
0.742 0.742 0.228
0.076 0.410 0.229
0.590 0.924 0.771
0.258 0.258 0.772
0.410 0.076 0.229
0.000 0.000 0.000
0.333 0.667 0.000
0.667 0.333 0.000
0.164 0.836 0.500
0.836 0.164 0.500
0.500 0.500 0.500